1.
Computed, not measured: crystalline LiHoSeO at its relaxed geometry at the PBE level of DFT.

Unit cell a=3.798 b=6.166 c=6.647 alpha=90.00 beta=90.00 gamma=90.00
Element x y z (fractional)
Ho (0.500, 0.038, 0.455)
Ho (0.500, 0.962, 0.955)
Li (0.000, 0.351, 0.137)
Li (0.000, 0.649, 0.637)
O (0.500, 0.221, 0.178)
O (0.500, 0.779, 0.678)
Se (0.000, 0.766, 0.221)
Se (0.000, 0.234, 0.721)

## Properties
Its distance to the lowest polymorph of the same formula is 235.1 meV/atom. For the total energy, the calculation gives -5.90 eV/atom. As for the space group: No. 26.



2.
Computed, not measured: crystalline LiHoSeO at its relaxed geometry at the PBE level of DFT.

Unit cell a=5.500 b=5.502 c=10.293 alpha=90.00 beta=106.34 gamma=90.00
Element x y z (fractional)
Ho (0.556, 0.347, 0.110)
Ho (0.056, 0.848, 0.110)
Ho (0.944, 0.348, 0.890)
Ho (0.444, 0.847, 0.890)
Li (0.446, 0.613, 0.411)
Li (0.978, 0.155, 0.413)
Li (0.022, 0.655, 0.587)
Li (0.554, 0.113, 0.589)
O (0.250, 0.095, 0.000)
O (0.750, 0.595, 0.000)
O (0.250, 0.596, 0.000)
O (0.750, 0.096, 0.000)
Se (0.897, 0.626, 0.331)
Se (0.403, 0.121, 0.332)
Se (0.597, 0.621, 0.668)
Se (0.103, 0.126, 0.669)

## Properties
Its distance to the lowest polymorph of the same formula is 68.0 meV/atom. For the total energy, the calculation gives -6.07 eV/atom. As for the space group: No. 4.



Magnetic moment (computed, Bohr magnetons per cell): 0.0, 0.0